(1)
Below is crystalline K2Cd3In17 at its relaxed geometry, with properties calculated at the GGA-PBE level.

Cell: 11.6754 11.6754 17.1382 Å, 90.00 90.00 120.00°
With the nearest neighbours (Å) after each atom.
Space group R-3m (No. 166, hexagonal axes)
Unique sites:
1 K 0.0000 0.0000 0.1393 [6 per cell]  3 Cd 3.40
2 Cd 0.0000 0.5000 0.5000 [9 per cell]  4 In 2.86-2.96
3 In 0.0000 0.0000 0.3797 [6 per cell]  12 In 3.46-3.62
4 In 0.0000 0.2549 0.5000 [18 per cell]  1 Cd 2.86, 2 In 2.98
5 In 0.0000 0.5000 0.0000 [9 per cell]  10 In 3.32-3.46
6 In 0.0105 0.5052 0.6725 [18 per cell]  1 Cd 2.96, 4 In 3.26-3.27

Calculated values
Formation energy from the elements   0.926 eV per formula unit
Calculated total energy   -2.299 eV per atom

(2)
Below is crystalline KCdIn2 at its relaxed geometry, with properties calculated at the GGA-PBE level.

Cell: 5.4287 5.4287 20.9566 Å, 90.00 90.00 90.00°
With the nearest neighbours (Å) after each atom.
Space group I-42d (No. 122)
Unique sites:
1 K 0.0000 0.0000 0.0000 [4 per cell]  4 In 3.67, 4 Cd 3.84
2 Cd 0.0000 0.0000 0.5000 [4 per cell]  4 In 3.00
3 In 0.0970 0.2500 0.6250 [8 per cell]  2 In 2.91, 2 Cd 3.00

Calculated values
Formation energy from the elements   0.302 eV per formula unit
Calculated total energy   -1.797 eV per atom

(3)
Below is crystalline KCd2In at its relaxed geometry, with properties calculated at the GGA-PBE level.

Cell: 11.3925 3.3412 6.5199 Å, 90.00 103.69 90.00°
With the nearest neighbours (Å) after each atom.
Space group Cm (No. 8)
Unique sites:
1 K 0.0000 0.0000 0.0000 [2 per cell]  2 K 3.34, 7 Cd 3.58-3.70, 3 In 3.60-3.69
2 Cd 0.0002 0.5000 0.5063 [2 per cell]  4 Cd 3.05-3.34, 2 In 3.08
3 Cd 0.2236 0.0000 0.6950 [2 per cell]  4 Cd 3.05-3.34, 2 In 3.21
4 In 0.2750 0.5000 0.3059 [2 per cell]  4 Cd 3.08-3.21, 2 In 3.34

Calculated values
Formation energy from the elements   0.034 eV per formula unit
Calculated total energy   -1.408 eV per atom

(4)
Below is crystalline K2Cd5In3 at its relaxed geometry, with properties calculated at the GGA-PBE level.

Cell: 4.8532 4.8532 12.7085 Å, 90.00 90.00 90.00°
With the nearest neighbours (Å) after each atom.
Space group P-4m2 (No. 115)
Unique sites:
1 K 0.0000 0.5000 0.2488 [2 per cell]  6 In 3.72-4.01, 10 Cd 3.73-4.01
2 Cd 0.0000 0.0000 0.0000 [1 per cell]  4 Cd 2.97
3 Cd 0.0000 0.0000 0.5000 [1 per cell]  4 In 3.00
4 Cd 0.0000 0.5000 0.8653 [2 per cell]  1 In 2.88, 4 Cd 2.97
5 Cd 0.5000 0.5000 0.0000 [1 per cell]  4 Cd 2.97
6 In 0.0000 0.5000 0.6383 [2 per cell]  3 Cd 2.88-3.00, 2 In 3.00
7 In 0.5000 0.5000 0.5000 [1 per cell]  4 In 3.00

Calculated values
Formation energy from the elements   -0.852 eV per formula unit
Calculated total energy   -1.584 eV per atom

(5)
Below is crystalline KCd4In3 at its relaxed geometry, with properties calculated at the GGA-PBE level.

Cell: 4.9390 4.9390 9.5281 Å, 90.00 90.00 90.00°
With the nearest neighbours (Å) after each atom.
Space group P4/mmm (No. 123)
Unique sites:
1 K 0.0000 0.0000 0.0000 [1 per cell]  8 In 3.78, 8 Cd 3.95
2 Cd 0.0000 0.5000 0.3231 [4 per cell]  4 In 2.95-2.99
3 In 0.0000 0.0000 0.5000 [1 per cell]  8 Cd 2.99
4 In 0.5000 0.5000 0.1529 [2 per cell]  1 In 2.91, 4 Cd 2.95

Calculated values
Formation energy from the elements   -0.281 eV per formula unit
Calculated total energy   -1.657 eV per atom

(6)
Below is crystalline KCd9In2 at its relaxed geometry, with properties calculated at the GGA-PBE level.

Cell: 6.0567 6.0567 29.0837 Å, 90.00 90.00 120.00°
With the nearest neighbours (Å) after each atom.
Space group R-3m (No. 166, hexagonal axes)
Unique sites:
1 K 0.0000 0.0000 0.0000 [3 per cell]  6 Cd 3.50
2 Cd 0.0000 0.0000 0.3337 [6 per cell]  6 Cd 3.04-3.06
3 Cd 0.0000 0.0000 0.5000 [3 per cell]  6 Cd 2.94
4 Cd 0.0057 0.5029 0.9140 [18 per cell]  7 Cd 2.94-3.08
5 In 0.0000 0.0000 0.1434 [6 per cell]  12 Cd 3.46-3.56, 3 In 3.75

Calculated values
Excess energy over the best structure of this formula in the dataset   0.00 eV/f.u.
Formation energy from the elements   -0.228 eV per formula unit
Calculated total energy   -1.253 eV per atom